(1)
Y5InCo | PBE | relaxed

a = 4.7513 Å, b = 4.7513 Å, c = 8.4815 Å
α = 90.00°, β = 90.00°, γ = 90.00°
With the nearest neighbours (Å) after each atom.
Space group P4/mmm (No. 123)
Inequivalent atoms, fractional coordinates:
1 Y 0.0000 0.0000 0.0000 [1 per cell]  4 In 3.36, 8 Y 3.53
2 Y 0.0000 0.5000 0.3075 [4 per cell]  2 Co 2.88
3 In 0.5000 0.5000 0.0000 [1 per cell]  12 Y 3.36-3.53
4 Co 0.5000 0.5000 0.5000 [1 per cell]  8 Y 2.88

Summary:
Polymorph energy (0 for the lowest one): 0.00 eV per formula unit
Calculated formation energy: -0.9 eV/f.u.
Crystal system: tetragonal


(2)
Pm5AlCu2 | PBE | relaxed

a = 8.0757 Å, b = 8.0757 Å, c = 13.0176 Å
α = 90.00°, β = 90.00°, γ = 90.00°
With the nearest neighbours (Å) after each atom.
Space group I4/mcm (No. 140)
Inequivalent atoms, fractional coordinates:
1 Pm 0.0000 0.0000 0.0000 [4 per cell]  4 Cu 3.19, 2 Al 3.25
2 Pm 0.1574 0.3426 0.1454 [16 per cell]  3 Cu 2.98-3.11, 2 Al 3.34
3 Al 0.0000 0.0000 0.2500 [4 per cell]  10 Pm 3.25-3.34
4 Cu 0.1259 0.3741 0.5000 [8 per cell]  1 Cu 2.88, 8 Pm 2.98-3.19

Summary:
Calculated formation energy: -1.3 eV/f.u.
Crystal system: tetragonal


(3)
SbMoPd3 | PBE | relaxed

a = 4.8930 Å, b = 4.8930 Å, c = 4.8930 Å
α = 90.00°, β = 90.00°, γ = 90.00°
With the nearest neighbours (Å) after each atom.
Space group Pm-3m (No. 221)
Inequivalent atoms, fractional coordinates:
1 Sb 0.0000 0.0000 0.0000 [1 per cell]  6 Pd 2.45
2 Mo 0.5000 0.5000 0.5000 [1 per cell]  12 Pd 3.46
3 Pd 0.0000 0.0000 0.5000 [3 per cell]  2 Sb 2.45

Summary:
Polymorph energy (0 for the lowest one): 0.00 eV per formula unit
Crystal system: cubic
ΔE_f (raw): 0.933 eV/atom


(4)
Pu2AgPd9 | PBE | relaxed

a = 4.1273 Å, b = 4.1273 Å, c = 12.1308 Å
α = 90.00°, β = 90.00°, γ = 90.00°
With the nearest neighbours (Å) after each atom.
Space group P4/mmm (No. 123)
Inequivalent atoms, fractional coordinates:
1 Pu 0.0000 0.0000 0.1745 [2 per cell]  12 Pd 2.85-2.96
2 Ag 0.0000 0.0000 0.5000 [1 per cell]  12 Pd 2.86-2.92
3 Pd 0.0000 0.5000 0.0000 [2 per cell]  8 Pd 2.90-2.92, 4 Pu 2.96
4 Pd 0.0000 0.5000 0.3367 [4 per cell]  2 Pu 2.85, 8 Pd 2.86-2.92, 2 Ag 2.86
5 Pd 0.5000 0.5000 0.1679 [2 per cell]  8 Pd 2.90-2.91, 4 Pu 2.92
6 Pd 0.5000 0.5000 0.5000 [1 per cell]  8 Pd 2.86, 4 Ag 2.92

Summary:
Calculated formation energy: -4.5 eV/f.u.
Crystal system: tetragonal


(5)
Na2BiPd | PBE | relaxed

a = 4.2800 Å, b = 4.2800 Å, c = 4.9852 Å
α = 90.00°, β = 90.00°, γ = 90.00°
With the nearest neighbours (Å) after each atom.
Space group P4/mmm (No. 123)
Inequivalent atoms, fractional coordinates:
1 Na 0.0000 0.5000 0.0000 [2 per cell]  4 Na 3.03, 4 Bi 3.29, 4 Pd 3.29
2 Bi 0.0000 0.0000 0.5000 [1 per cell]  4 Pd 3.03, 8 Na 3.29
3 Pd 0.5000 0.5000 0.5000 [1 per cell]  4 Bi 3.03, 8 Na 3.29

Summary:
Calculated formation energy: -0.9 eV/f.u.
Crystal system: tetragonal